# CoPIrO (PBE+U, relaxed)
data_CoPIrO
_chemical_formula_sum 'Co2 P2 Ir2 O2'
_space_group_name_H-M_alt 'P 1'
_space_group_IT_number 1
_space_group_name_Hall 'P 1'
_cell_length_a 3.906
_cell_length_b 3.906
_cell_length_c 8.185
_cell_angle_alpha 90.00
_cell_angle_beta 90.00
_cell_angle_gamma 90.00
loop_
_atom_site_label
_atom_site_type_symbol
_atom_site_fract_x
_atom_site_fract_y
_atom_site_fract_z
Co1 Co 0.000 0.500 0.057
Co2 Co 0.500 0.000 0.943
Ir1 Ir 0.000 0.000 0.500
Ir2 Ir 0.500 0.500 0.500
O1 O 0.000 0.000 0.000
O2 O 0.500 0.500 0.000
P1 P 0.000 0.500 0.342
P2 P 0.500 0.000 0.658
# Theoretical density   7.93 g cm⁻³
# Spin magnetization   2.88 μB/f.u.
# Crystal system   tetragonal
# Relative energy among the computed polymorphs   0 meV/atom
# Raw total energy   -53.697 eV for the cell shown